A geometry-optimized LiFe6Ni8 structure. Source: Alexandria via LeMat-Bulk, functional PBE.

Lattice parameters (Å, degrees): 9.1828 9.1828 2.4894 90.00 90.00 120.00
Last column: nearest neighbours and their distance in Å.
Fractional positions:
Li: 0.0000 0.0000 0.0000  6 Ni 2.44, 2 Li 2.49
Fe: 0.0950 0.6270 0.7619  5 Ni 2.37-2.45, 4 Fe 2.41-2.49
Fe: 0.3730 0.4680 0.7619  5 Ni 2.37-2.45, 4 Fe 2.41-2.49
Fe: 0.4680 0.0950 0.2381  5 Ni 2.37-2.45, 4 Fe 2.41-2.49
Fe: 0.5320 0.9050 0.7619  5 Ni 2.37-2.45, 4 Fe 2.41-2.49
Fe: 0.6270 0.5320 0.2381  5 Ni 2.37-2.45, 4 Fe 2.41-2.49
Fe: 0.9050 0.3730 0.2381  5 Ni 2.37-2.45, 4 Fe 2.41-2.49
Ni: 0.0773 0.2855 0.7301  3 Fe 2.37-2.45, 1 Li 2.44, 4 Ni 2.49-2.61
Ni: 0.2082 0.9227 0.7301  3 Fe 2.37-2.45, 1 Li 2.44, 4 Ni 2.49-2.61
Ni: 0.2855 0.2082 0.2699  3 Fe 2.37-2.45, 1 Li 2.44, 4 Ni 2.49-2.61
Ni: 0.3333 0.6667 0.2614  6 Fe 2.38, 2 Ni 2.49
Ni: 0.6667 0.3333 0.7386  6 Fe 2.38, 2 Ni 2.49
Ni: 0.7145 0.7918 0.7301  3 Fe 2.37-2.45, 1 Li 2.44, 4 Ni 2.49-2.61
Ni: 0.7918 0.0773 0.2699  3 Fe 2.37-2.45, 1 Li 2.44, 4 Ni 2.49-2.61
Ni: 0.9227 0.7145 0.2699  3 Fe 2.37-2.45, 1 Li 2.44, 4 Ni 2.49-2.61

Crystal system: trigonal

=====

A geometry-optimized LiFe2Ni structure. Source: Alexandria via LeMat-Bulk, functional PBE.

Lattice parameters (Å, degrees): 2.4395 4.0167 4.7332 90.00 98.59 90.00
Last column: nearest neighbours and their distance in Å.
Fractional positions:
Li: 0.0000 0.0000 0.0000  2 Ni 2.43, 2 Li 2.44, 4 Fe 2.45-2.51
Fe: 0.2476 0.5000 0.7491  4 Fe 2.44-2.48, 2 Li 2.45, 2 Ni 2.47-2.52
Fe: 0.5142 0.0000 0.4941  4 Fe 2.44-2.48, 2 Ni 2.45, 2 Li 2.48-2.51
Ni: 0.7803 0.5000 0.2490  2 Li 2.43, 2 Ni 2.44, 4 Fe 2.45-2.52

Crystal system: monoclinic

=====

A geometry-optimized LiFe2Ni structure. Source: Alexandria via LeMat-Bulk, functional PBE.

Lattice parameters (Å, degrees): 4.3786 4.3786 4.3786 131.44 131.44 71.12
Last column: nearest neighbours and their distance in Å.
Fractional positions:
Li: 0.0000 0.0000 0.0000  8 Fe 2.53-2.55, 4 Ni 2.53
Fe: 0.5000 0.5000 0.0000  4 Fe 2.53, 4 Ni 2.53, 4 Li 2.55
Fe: 0.7500 0.2500 0.5000  4 Fe 2.53, 4 Li 2.53, 4 Ni 2.55
Ni: 0.2500 0.7500 0.5000  8 Fe 2.53-2.55, 4 Li 2.53

Crystal system: tetragonal

=====

A geometry-optimized LiFe2Ni structure. Source: Alexandria via LeMat-Bulk, functional PBE.

Lattice parameters (Å, degrees): 4.8518 4.8518 4.8518 147.36 130.86 60.25
Last column: nearest neighbours and their distance in Å.
Fractional positions:
Li: 0.0000 0.0000 0.0000  4 Ni 2.43, 4 Fe 2.56, 2 Li 2.73
Fe: 0.2588 0.7588 0.5000  6 Fe 2.44-2.73, 2 Ni 2.44, 2 Li 2.56
Fe: 0.7412 0.2412 0.5000  6 Fe 2.44-2.73, 2 Ni 2.44, 2 Li 2.56
Ni: 0.5000 0.5000 0.0000  4 Li 2.43, 4 Fe 2.44, 2 Ni 2.73

Crystal system: orthorhombic

=====

A geometry-optimized LiFe2Ni structure. Source: Alexandria via LeMat-Bulk, functional PBE.

Lattice parameters (Å, degrees): 4.3652 4.3652 4.5175 98.39 98.39 33.20
Last column: nearest neighbours and their distance in Å.
Fractional positions:
Li: 0.0000 0.0000 0.0000  7 Fe 2.45-2.60, 2 Li 2.49, 3 Ni 2.52-2.56
Fe: 0.5069 0.5069 0.5076  3 Ni 2.48-2.56, 5 Fe 2.49-2.56, 4 Li 2.56-2.60
Fe: 0.7589 0.7589 0.2487  3 Li 2.45-2.60, 5 Fe 2.49-2.56, 4 Ni 2.58
Ni: 0.2481 0.2481 0.7464  7 Fe 2.48-2.58, 2 Ni 2.49, 3 Li 2.52-2.56

Crystal system: monoclinic

=====

A geometry-optimized LiFe2Ni structure. Source: Alexandria via LeMat-Bulk, functional PBE.

Lattice parameters (Å, degrees): 4.4453 4.4453 4.4453 132.94 132.94 68.76
Last column: nearest neighbours and their distance in Å.
Fractional positions:
Li: 0.0000 0.0000 0.0000  4 Ni 2.51, 8 Fe 2.55
Fe: 0.2500 0.7500 0.5000  4 Fe 2.51, 4 Li 2.55, 4 Ni 2.55
Fe: 0.7500 0.2500 0.5000  4 Fe 2.51, 4 Li 2.55, 4 Ni 2.55
Ni: 0.5000 0.5000 0.0000  4 Li 2.51, 8 Fe 2.55

Crystal system: tetragonal

=====

A geometry-optimized Li2FeNi6 structure. Source: Alexandria via LeMat-Bulk, functional PBE.

Lattice parameters (Å, degrees): 4.3051 4.3333 6.2793 77.12 83.46 60.86
Last column: nearest neighbours and their distance in Å.
Fractional positions:
Li: 0.1526 0.3914 0.3389  1 Li 2.40, 10 Ni 2.43-2.58, 1 Fe 2.55
Li: 0.8474 0.6086 0.6611  1 Li 2.40, 10 Ni 2.43-2.58, 1 Fe 2.55
Fe: 0.5000 0.5000 0.0000  10 Ni 2.46-2.52, 2 Li 2.55
Ni: 0.1701 0.1643 0.9950  7 Ni 2.47-2.55, 3 Fe 2.49-2.52, 2 Li 2.51-2.55
Ni: 0.1802 0.9252 0.6709  4 Li 2.43-2.58, 7 Ni 2.45-2.57, 1 Fe 2.46
Ni: 0.4798 0.7303 0.3318  7 Ni 2.45-2.55, 4 Li 2.47-2.55, 1 Fe 2.48
Ni: 0.5202 0.2697 0.6682  7 Ni 2.45-2.55, 4 Li 2.47-2.55, 1 Fe 2.48
Ni: 0.8198 0.0748 0.3291  4 Li 2.43-2.58, 7 Ni 2.45-2.57, 1 Fe 2.46
Ni: 0.8299 0.8357 0.0050  7 Ni 2.47-2.55, 3 Fe 2.49-2.52, 2 Li 2.51-2.55

Crystal system: triclinic

=====

A geometry-optimized LiFeNi4 structure. Source: Alexandria via LeMat-Bulk, functional PBE.

Lattice parameters (Å, degrees): 2.4668 3.6147 7.4887 90.00 90.71 90.00
Last column: nearest neighbours and their distance in Å.
Fractional positions:
Li: 0.0000 0.0000 0.0000  2 Li 2.47, 10 Ni 2.49-2.56
Fe: 0.5000 0.5000 0.5000  2 Fe 2.47, 10 Ni 2.47-2.53
Ni: 0.0092 0.0000 0.6677  7 Ni 2.47-2.51, 1 Li 2.49, 4 Fe 2.52-2.53
Ni: 0.4861 0.5000 0.1698  7 Ni 2.47-2.54, 1 Fe 2.47, 4 Li 2.51-2.56
Ni: 0.5139 0.5000 0.8302  7 Ni 2.47-2.54, 1 Fe 2.47, 4 Li 2.51-2.56
Ni: 0.9908 0.0000 0.3323  7 Ni 2.47-2.51, 1 Li 2.49, 4 Fe 2.52-2.53

Crystal system: monoclinic

=====

A geometry-optimized LiFe4Ni15 structure. Source: Alexandria via LeMat-Bulk, functional PBE.

Lattice parameters (Å, degrees): 3.5532 3.5532 17.5308 90.00 90.00 90.00
Last column: nearest neighbours and their distance in Å.
Fractional positions:
Li: 0.0000 0.0000 0.0000  12 Ni 2.50-2.51
Fe: 0.0000 0.0000 0.1966  12 Ni 2.45-2.54
Fe: 0.0000 0.0000 0.3993  12 Ni 2.49-2.51
Fe: 0.0000 0.0000 0.6007  12 Ni 2.49-2.51
Fe: 0.0000 0.0000 0.8034  12 Ni 2.45-2.54
Ni: 0.0000 0.5000 0.1001  2 Fe 2.45, 2 Li 2.50, 8 Ni 2.50-2.51
Ni: 0.0000 0.5000 0.2999  4 Fe 2.49-2.54, 8 Ni 2.49-2.51
Ni: 0.0000 0.5000 0.5000  8 Ni 2.50-2.51, 4 Fe 2.50
Ni: 0.0000 0.5000 0.7001  4 Fe 2.49-2.54, 8 Ni 2.49-2.51
Ni: 0.0000 0.5000 0.8999  2 Fe 2.45, 2 Li 2.50, 8 Ni 2.50-2.51
Ni: 0.5000 0.0000 0.1001  2 Fe 2.45, 2 Li 2.50, 8 Ni 2.50-2.51
Ni: 0.5000 0.0000 0.2999  4 Fe 2.49-2.54, 8 Ni 2.49-2.51
Ni: 0.5000 0.0000 0.5000  8 Ni 2.50-2.51, 4 Fe 2.50
Ni: 0.5000 0.0000 0.7001  4 Fe 2.49-2.54, 8 Ni 2.49-2.51
Ni: 0.5000 0.0000 0.8999  2 Fe 2.45, 2 Li 2.50, 8 Ni 2.50-2.51
Ni: 0.5000 0.5000 0.0000  8 Ni 2.50, 4 Li 2.51
Ni: 0.5000 0.5000 0.2003  8 Ni 2.49-2.50, 4 Fe 2.51
Ni: 0.5000 0.5000 0.3998  8 Ni 2.49-2.50, 4 Fe 2.51
Ni: 0.5000 0.5000 0.6002  8 Ni 2.49-2.50, 4 Fe 2.51
Ni: 0.5000 0.5000 0.7997  8 Ni 2.49-2.50, 4 Fe 2.51

Crystal system: tetragonal

=====

A geometry-optimized LiFe2Ni structure. Source: Alexandria via LeMat-Bulk, functional PBE.

Lattice parameters (Å, degrees): 5.2179 5.2179 5.2179 102.42 102.42 124.75
Last column: nearest neighbours and their distance in Å.
Fractional positions:
Li: 0.0000 0.0000 0.0000  2 Ni 2.42, 4 Fe 2.49
Li: 0.7500 0.2500 0.5000  2 Ni 2.42, 4 Fe 2.49
Fe: 0.1463 0.1250 0.5213  2 Ni 2.30, 2 Fe 2.44, 2 Li 2.49
Fe: 0.3750 0.8537 0.9787  2 Ni 2.30, 2 Fe 2.44, 2 Li 2.49
Fe: 0.6037 0.6250 0.4787  2 Ni 2.30, 2 Fe 2.44, 2 Li 2.49
Fe: 0.8750 0.3963 0.0213  2 Ni 2.30, 2 Fe 2.44, 2 Li 2.49
Ni: 0.2500 0.7500 0.5000  4 Fe 2.30, 2 Li 2.42
Ni: 0.5000 0.5000 0.0000  4 Fe 2.30, 2 Li 2.42

Crystal system: tetragonal

=====

A geometry-optimized LiFe2Ni structure. Source: Alexandria via LeMat-Bulk, functional PBE.

Lattice parameters (Å, degrees): 3.0036 3.0036 5.2325 90.00 90.00 90.00
Last column: nearest neighbours and their distance in Å.
Fractional positions:
Li: 0.0000 0.0000 0.0000  8 Fe 2.51, 2 Ni 2.62
Fe: 0.5000 0.5000 0.2560  4 Ni 2.48, 4 Li 2.51, 2 Fe 2.55-2.68
Fe: 0.5000 0.5000 0.7440  4 Ni 2.48, 4 Li 2.51, 2 Fe 2.55-2.68
Ni: 0.0000 0.0000 0.5000  8 Fe 2.48, 2 Li 2.62

Crystal system: tetragonal

=====

A geometry-optimized Li2FeNi2 structure. Source: Alexandria via LeMat-Bulk, functional PBE.

Lattice parameters (Å, degrees): 6.6381 6.6381 2.5015 90.00 90.00 90.00
Last column: nearest neighbours and their distance in Å.
Fractional positions:
Li: 0.1667 0.3333 0.0000  6 Ni 2.26-2.36, 2 Li 2.50
Li: 0.3333 0.8333 0.0000  6 Ni 2.26-2.36, 2 Li 2.50
Li: 0.6667 0.1667 0.0000  6 Ni 2.26-2.36, 2 Li 2.50
Li: 0.8333 0.6667 0.0000  6 Ni 2.26-2.36, 2 Li 2.50
Fe: 0.0000 0.0000 0.5000  2 Fe 2.50, 4 Ni 2.59, 8 Li 2.77
Fe: 0.5000 0.5000 0.5000  2 Fe 2.50, 4 Ni 2.59, 8 Li 2.77
Ni: 0.1331 0.6331 0.5000  6 Li 2.26-2.36, 3 Ni 2.50
Ni: 0.3669 0.1331 0.5000  6 Li 2.26-2.36, 3 Ni 2.50
Ni: 0.6331 0.8669 0.5000  6 Li 2.26-2.36, 3 Ni 2.50
Ni: 0.8669 0.3669 0.5000  6 Li 2.26-2.36, 3 Ni 2.50

Crystal system: tetragonal

=====

A geometry-optimized LiFe2Ni structure. Source: Alexandria via LeMat-Bulk, functional PBE.

Lattice parameters (Å, degrees): 2.6840 4.0400 4.1807 90.00 90.00 90.00
Last column: nearest neighbours and their distance in Å.
Fractional positions:
Li: 0.0000 0.0000 0.0000  4 Ni 2.43, 4 Fe 2.48, 2 Li 2.68
Fe: 0.0000 0.5000 0.5000  6 Fe 2.43-2.68, 4 Ni 2.48
Fe: 0.5000 0.0000 0.5000  6 Fe 2.43-2.68, 4 Li 2.48
Ni: 0.5000 0.5000 0.0000  4 Li 2.43, 4 Fe 2.48, 2 Ni 2.68

Crystal system: orthorhombic

=====

no.,M_tot (μB/cell),calculated formation energy (eV per atom)
1,20.31,0.23
2,5.45,0.11
3,5.72,0.18
4,5.54,0.11
5,5.74,0.12
6,5.80,0.17
7,5.69,0.01
8,4.51,0.01
9,1.03,-0.04
10,12.16,0.48
11,6.07,0.26
12,0.00,0.45
13,5.18,0.12